Ba2MgRe PBE relaxed; energy of formation = 1.03 eV/atom; final energy = -3.446 eV/atom
1.0
-0.383 5.051 10.267
1.728 2.140 11.114
3.262 5.178 9.676
Ba Mg Re
2 1 1
direct
0.016 0.016 0.016
0.484 0.484 0.484
0.250 0.250 0.250
0.750 0.750 0.750